# 1
# TiAlSiAg2

An optimized crystal structure of TiAlSiAg2 (PBE, Alexandria).

Lattice parameters (Å, degrees): 4.6410 4.6410 4.8356 90.00 90.00 90.00
Last column: nearest neighbours and their distance in Å.
Element x y z (fractional)
Ti: 0.0000 0.0000 0.0000  4 Al 3.28, 8 Ag 3.35
Al: 0.5000 0.5000 0.0000  2 Si 2.42
Si: 0.5000 0.5000 0.5000  4 Ag 2.32, 2 Al 2.42
Ag: 0.0000 0.5000 0.5000  2 Si 2.32
Ag: 0.5000 0.0000 0.5000  2 Si 2.32

ΔE_f (raw), eV/atom: 0.72
Total magnetic moment, μB per cell: 0.0

# 2
# Y2AlSiAg

An optimized crystal structure of Y2AlSiAg (PBE, Alexandria).

Lattice parameters (Å, degrees): 5.3899 5.3899 4.5702 90.00 90.00 90.00
Last column: nearest neighbours and their distance in Å.
Element x y z (fractional)
Y: 0.0000 0.5000 0.0000  2 Si 2.69
Y: 0.5000 0.0000 0.0000  2 Si 2.69
Al: 0.0000 0.0000 0.5000  2 Si 2.29
Si: 0.0000 0.0000 0.0000  2 Al 2.29
Ag: 0.5000 0.5000 0.5000  8 Y 3.53, 4 Al 3.81

ΔE_f (raw), eV/atom: 0.01
Total magnetic moment, μB per cell: 0.0

# 3
# ZrAlSiAg2

An optimized crystal structure of ZrAlSiAg2 (PBE, Alexandria).

Lattice parameters (Å, degrees): 5.1896 5.1896 5.2785 90.00 90.00 90.00
Last column: nearest neighbours and their distance in Å.
Element x y z (fractional)
Zr: 0.0000 0.0000 0.0000  4 Ag 2.59, 2 Al 2.64
Al: 0.0000 0.0000 0.5000  2 Zr 2.64
Si: 0.5000 0.5000 0.5000  4 Al 3.67, 8 Ag 3.70
Ag: 0.0000 0.5000 0.0000  2 Zr 2.59
Ag: 0.5000 0.0000 0.0000  2 Zr 2.59

ΔE_f (raw), eV/atom: 1.44
Total magnetic moment, μB per cell: 0.0

# 4
# SmAl2Ag9

An optimized crystal structure of SmAl2Ag9 (PBE, Alexandria).

Lattice parameters (Å, degrees): 8.7873 8.7873 8.7873 99.46 99.46 132.15
Last column: nearest neighbours and their distance in Å.
Element x y z (fractional)
Sm: 0.3750 0.6250 0.7500  18 Ag 3.42-3.72
Sm: 0.6250 0.3750 0.2500  18 Ag 3.42-3.72
Al: 0.0000 0.0000 0.0000  10 Ag 2.73-2.98
Al: 0.0000 0.0000 0.5000  10 Ag 2.73-2.98
Al: 0.0000 0.5000 0.0000  10 Ag 2.73-2.98
Al: 0.5000 0.0000 0.5000  10 Ag 2.73-2.98
Ag: 0.1250 0.8750 0.2500  4 Al 2.98, 8 Ag 2.98
Ag: 0.1288 0.5589 0.3268  2 Al 2.73, 7 Ag 2.76-3.03
Ag: 0.1288 0.8020 0.5699  2 Al 2.73, 7 Ag 2.76-3.03
Ag: 0.1980 0.2678 0.3268  2 Al 2.73, 7 Ag 2.76-3.03
Ag: 0.1980 0.8712 0.9301  2 Al 2.73, 7 Ag 2.76-3.03
Ag: 0.2678 0.1980 0.8268  2 Al 2.73, 7 Ag 2.76-3.03
Ag: 0.2678 0.4411 0.0699  2 Al 2.73, 7 Ag 2.76-3.03
Ag: 0.4411 0.2678 0.5699  2 Al 2.73, 7 Ag 2.76-3.03
Ag: 0.4411 0.8712 0.1732  2 Al 2.73, 7 Ag 2.76-3.03
Ag: 0.5589 0.1288 0.8268  2 Al 2.73, 7 Ag 2.76-3.03
Ag: 0.5589 0.7322 0.4301  2 Al 2.73, 7 Ag 2.76-3.03
Ag: 0.7322 0.5589 0.9301  2 Al 2.73, 7 Ag 2.76-3.03
Ag: 0.7322 0.8020 0.1732  2 Al 2.73, 7 Ag 2.76-3.03
Ag: 0.8020 0.1288 0.0699  2 Al 2.73, 7 Ag 2.76-3.03
Ag: 0.8020 0.7322 0.6732  2 Al 2.73, 7 Ag 2.76-3.03
Ag: 0.8712 0.1980 0.4301  2 Al 2.73, 7 Ag 2.76-3.03
Ag: 0.8712 0.4411 0.6732  2 Al 2.73, 7 Ag 2.76-3.03
Ag: 0.8750 0.1250 0.7500  4 Al 2.98, 8 Ag 2.98

Formation energy from the elements, eV/atom: -0.102
Total magnetic moment, μB per cell: 0.0

# 5
# Sm6AlAg

An optimized crystal structure of Sm6AlAg (PBE, Alexandria).

Lattice parameters (Å, degrees): 9.6627 9.6607 5.1578 74.54 74.50 30.96
Last column: nearest neighbours and their distance in Å.
Element x y z (fractional)
Sm: 0.1069 0.1069 0.3931  2 Ag 3.21, 2 Al 3.21
Sm: 0.2476 0.2476 0.7524  12 Sm 3.60-3.66
Sm: 0.3931 0.3931 0.1069  2 Ag 3.21, 2 Al 3.21
Sm: 0.6069 0.6069 0.8931  2 Al 3.21, 2 Ag 3.21
Sm: 0.7524 0.7524 0.2476  12 Sm 3.60-3.66
Sm: 0.8931 0.8931 0.6069  2 Al 3.21, 2 Ag 3.21
Al: 0.0000 0.0000 0.0000  8 Sm 3.21
Ag: 0.5000 0.5000 0.5000  8 Sm 3.21

Formation energy from the elements, eV/atom: -0.134
Total magnetic moment, μB per cell: 0.0

# 6
# Sm5AlAg4

An optimized crystal structure of Sm5AlAg4 (PBE, Alexandria).

Lattice parameters (Å, degrees): 3.6804 3.6804 18.7703 90.00 90.00 90.00
Last column: nearest neighbours and their distance in Å.
Element x y z (fractional)
Sm: 0.0000 0.0000 0.0000  8 Ag 3.20
Sm: 0.0000 0.0000 0.2007  8 Ag 3.22
Sm: 0.0000 0.0000 0.4015  4 Al 3.19, 4 Ag 3.21
Sm: 0.0000 0.0000 0.5985  4 Al 3.19, 4 Ag 3.21
Sm: 0.0000 0.0000 0.7993  8 Ag 3.22
Al: 0.5000 0.5000 0.5000  8 Sm 3.19
Ag: 0.5000 0.5000 0.0996  8 Sm 3.20-3.22
Ag: 0.5000 0.5000 0.3018  8 Sm 3.21-3.22
Ag: 0.5000 0.5000 0.6982  8 Sm 3.21-3.22
Ag: 0.5000 0.5000 0.9004  8 Sm 3.20-3.22

Formation energy from the elements, eV/atom: -0.300
Total magnetic moment, μB per cell: 0.0

# 7
# SmAlAg

An optimized crystal structure of SmAlAg (PBE, Alexandria).

Lattice parameters (Å, degrees): 4.7578 4.7578 4.7578 60.00 60.00 60.00
Last column: nearest neighbours and their distance in Å.
Element x y z (fractional)
Sm: 0.0000 0.0000 0.0000  4 Ag 2.91
Al: 0.5000 0.5000 0.5000  4 Ag 2.91
Ag: 0.7500 0.7500 0.7500  4 Al 2.91, 4 Sm 2.91

Formation energy from the elements, eV/atom: -0.173
Total magnetic moment, μB per cell: 0.0

# 8
# Sm5AlAg2

An optimized crystal structure of Sm5AlAg2 (PBE, Alexandria).

Lattice parameters (Å, degrees): 8.8558 8.8558 8.8558 124.99 124.99 81.56
Last column: nearest neighbours and their distance in Å.
Element x y z (fractional)
Sm: 0.0000 0.0000 0.0000  4 Ag 3.20, 2 Al 3.35
Sm: 0.0060 0.5060 0.8154  3 Ag 3.12-3.18, 2 Al 3.35, 1 Sm 3.39
Sm: 0.1906 0.0060 0.5000  3 Ag 3.12-3.18, 2 Al 3.35, 1 Sm 3.39
Sm: 0.3094 0.8094 0.8154  3 Ag 3.12-3.18, 2 Al 3.35, 1 Sm 3.39
Sm: 0.4940 0.3094 0.5000  3 Ag 3.12-3.18, 2 Al 3.35, 1 Sm 3.39
Sm: 0.5000 0.5000 0.0000  4 Ag 3.20, 2 Al 3.35
Sm: 0.5060 0.6906 0.5000  3 Ag 3.12-3.18, 2 Al 3.35, 1 Sm 3.39
Sm: 0.6906 0.1906 0.1846  3 Ag 3.12-3.18, 2 Al 3.35, 1 Sm 3.39
Sm: 0.8094 0.9940 0.5000  3 Ag 3.12-3.18, 2 Al 3.35, 1 Sm 3.39
Sm: 0.9940 0.4940 0.1846  3 Ag 3.12-3.18, 2 Al 3.35, 1 Sm 3.39
Al: 0.2500 0.2500 0.0000  10 Sm 3.35
Al: 0.7500 0.7500 0.0000  10 Sm 3.35
Ag: 0.1307 0.3693 0.5000  1 Ag 3.02, 8 Sm 3.12-3.20
Ag: 0.3693 0.8693 0.2386  1 Ag 3.02, 8 Sm 3.12-3.20
Ag: 0.6307 0.1307 0.7614  1 Ag 3.02, 8 Sm 3.12-3.20
Ag: 0.8693 0.6307 0.5000  1 Ag 3.02, 8 Sm 3.12-3.20

Formation energy from the elements, eV/atom: -0.187
Total magnetic moment, μB per cell: 0.0

Look up the total magnetic moment of the sixth one.
0.0 μB per cell